# 1
## ZrInRe (GGA-PBE)

Data for crystalline ZrInRe at its relaxed geometry.

a = 6.539 Å, b = 6.539 Å, c = 6.539 Å
α = 90.00°, β = 90.00°, γ = 90.00°
Space group F-43m (No. 216)
Asymmetric unit:
Zr 0.000 0.000 0.000 [4 per cell]
In 0.250 0.250 0.250 [4 per cell]
Re 0.250 0.250 0.750 [4 per cell]

Summary:
- E_form (meV per atom) = 880
- total magnetic moment (μB per cell) = 0.0
- ΔE to the lowest computed polymorph (eV/atom) = 1.024
- VASP energy (hartree per atom) = -0.258


# 2
## CdGeWCl2 (GGA-PBE)

Data for crystalline CdGeWCl2 at its relaxed geometry.

a = 4.820 Å, b = 4.820 Å, c = 6.395 Å
α = 90.00°, β = 90.00°, γ = 90.00°
Space group P4/mmm (No. 123)
Asymmetric unit:
Cd 0.000 0.000 0.000 [1 per cell]
Ge 0.500 0.500 0.500 [1 per cell]
W 0.000 0.000 0.500 [1 per cell]
Cl 0.000 0.500 0.000 [2 per cell]

Summary:
- formation energy without anion corrections (kJ per mole of atoms) = 112.0
- total magnetic moment (μB per cell) = 4.0
- VASP energy (hartree per atom) = -0.120


# 3
## PmPbSeO5 (GGA-PBE)

Data for crystalline PmPbSeO5 at its relaxed geometry.

a = 7.723 Å, b = 10.201 Å, c = 8.050 Å
α = 90.00°, β = 115.90°, γ = 90.00°
Space group C2/c (No. 15)
Asymmetric unit:
Pm 0.250 0.250 0.000 [4 per cell]
Pb 0.000 0.045 0.250 [4 per cell]
Se 0.000 0.449 0.250 [4 per cell]
O 0.000 0.169 0.750 [4 per cell]
O 0.026 0.345 0.097 [8 per cell]
O 0.247 0.025 0.110 [8 per cell]

Summary:
- formation energy without anion corrections (kJ per mole of atoms) = -151.3
- total magnetic moment (μB per cell) = 3.5
- VASP energy (hartree per atom) = -0.226


# 4
## Rb2NiGeCl6 (GGA-PBE)

Data for crystalline Rb2NiGeCl6 at its relaxed geometry.

a = 7.363 Å, b = 7.363 Å, c = 9.094 Å
α = 90.00°, β = 90.00°, γ = 90.00°
Space group I4/mmm (No. 139)
Asymmetric unit:
Rb 0.000 0.500 0.250 [4 per cell]
Ni 0.000 0.000 0.000 [2 per cell]
Ge 0.000 0.000 0.500 [2 per cell]
Cl 0.000 0.000 0.239 [4 per cell]
Cl 0.244 0.244 0.000 [8 per cell]

Summary:
- formation energy without anion corrections (kJ per mole of atoms) = -109.7
- total magnetic moment (μB per cell) = 3.2
- VASP energy (hartree per atom) = -0.128